No. 1
Material: K2CaW
Method: DFT, GGA-PBE
State: relaxed

- N(E_F) (states/eV/atom) = 0.767
- energy above the most stable polymorph in this dataset (eV per atom) = 0.328
- ΔH_f (0 K) (kJ/mol of formula units) = 545.1

```
data_K2CaW
_chemical_formula_sum 'K4 Ca2 W2'
_cell_length_a 5.987
_cell_length_b 5.987
_cell_length_c 8.420
_cell_angle_alpha 90.00
_cell_angle_beta 90.00
_cell_angle_gamma 90.00
_space_group_name_H-M_alt 'I -4 m 2'
_space_group_IT_number 119
_space_group_name_Hall 'I -4 -2'
loop_
_atom_site_label
_atom_site_type_symbol
_atom_site_fract_x
_atom_site_fract_y
_atom_site_fract_z
_atom_site_occupancy
K1 K 0.000 0.000 0.000 1
K2 K 0.000 0.500 0.250 1
Ca1 Ca 0.000 0.000 0.500 1
W1 W 0.000 0.500 0.750 1
```

No. 2
Material: Nd3Tm3Sc2
Method: DFT, GGA-PBE
State: relaxed

- N(E_F) (states/eV/atom) = 1.534
- ΔH_f (0 K) (kJ/mol of formula units) = 61.5

```
data_Nd3Tm3Sc2
_chemical_formula_sum 'Nd6 Tm6 Sc4'
_cell_length_a 16.819
_cell_length_b 5.451
_cell_length_c 5.660
_cell_angle_alpha 90.00
_cell_angle_beta 108.20
_cell_angle_gamma 90.00
_space_group_name_H-M_alt 'C 1 2/m 1'
_space_group_IT_number 12
loop_
_space_group_symop_operation_xyz
'x,y,z'
'-x,-y,-z'
'-x,y,-z'
'x,-y,z'
'x+1/2,y+1/2,z'
'-x+1/2,-y+1/2,-z'
'-x+1/2,y+1/2,-z'
'x+1/2,-y+1/2,z'
loop_
_atom_site_label
_atom_site_type_symbol
_atom_site_fract_x
_atom_site_fract_y
_atom_site_fract_z
_atom_site_occupancy
Nd1 Nd 0.000 0.000 0.000 1
Nd2 Nd 0.141 0.000 0.691 1
Tm1 Tm 0.000 0.500 0.500 1
Tm2 Tm 0.138 0.500 0.101 1
Sc1 Sc 0.250 0.000 0.311 1
```

No. 3
Material: CaPuO6
Method: DFT, GGA-PBE
State: relaxed

- N(E_F) (states/eV/atom) = 0.292
- formation energy from raw total energies (eV/f.u.) = -15.6

```
data_CaPuO6
_chemical_formula_sum 'Ca1 Pu1 O6'
_cell_length_a 4.307
_cell_length_b 4.745
_cell_length_c 5.553
_cell_angle_alpha 76.21
_cell_angle_beta 86.18
_cell_angle_gamma 81.58
_space_group_name_H-M_alt 'P -1'
_space_group_IT_number 2
loop_
_space_group_symop_operation_xyz
'x,y,z'
'-x,-y,-z'
loop_
_atom_site_label
_atom_site_type_symbol
_atom_site_fract_x
_atom_site_fract_y
_atom_site_fract_z
_atom_site_occupancy
Ca1 Ca 0.000 0.000 0.000 1
Pu1 Pu 0.500 0.500 0.500 1
O1 O 0.079 0.718 0.686 1
O2 O 0.136 0.491 0.234 1
O3 O 0.467 0.152 0.738 1
```

No. 4
Material: BaCaCo
Method: DFT, GGA-PBE
State: relaxed

- N(E_F) (states/eV/atom) = 1.604
- energy above the most stable polymorph in this dataset (eV per atom) = 0.056
- ΔH_f (0 K) (kJ/mol of formula units) = 127.7

```
data_BaCaCo
_chemical_formula_sum 'Ba1 Ca1 Co1'
_cell_length_a 4.1813
_cell_length_b 4.1813
_cell_length_c 7.1020
_cell_angle_alpha 90.00
_cell_angle_beta 90.00
_cell_angle_gamma 120.00
_space_group_name_H-M_alt 'P 3 m 1'
_space_group_IT_number 156
loop_
_space_group_symop_operation_xyz
'x,y,z'
'-y,x-y,z'
'-x+y,-x,z'
'-y,-x,z'
'-x+y,y,z'
'x,x-y,z'
loop_
_atom_site_label
_atom_site_type_symbol
_atom_site_fract_x
_atom_site_fract_y
_atom_site_fract_z
_atom_site_occupancy
Ba1 Ba 0.0000 0.0000 0.0000 1
Ca1 Ca 0.6667 0.3333 0.5276 1
Co1 Co 0.3333 0.6667 0.7438 1
```

No. 5
Material: KSi2Hg
Method: DFT, GGA-PBE
State: relaxed

- N(E_F) (states/eV/atom) = 0.578
- formation energy from raw total energies (eV/f.u.) = 2.4

```
data_KSi2Hg
_chemical_formula_sum 'K1 Si2 Hg1'
_cell_length_a 4.389
_cell_length_b 4.389
_cell_length_c 4.734
_cell_angle_alpha 90.00
_cell_angle_beta 90.00
_cell_angle_gamma 90.00
_space_group_name_H-M_alt 'P 4/m m m'
_space_group_IT_number 123
_space_group_name_Hall '-P 4 2'
loop_
_atom_site_label
_atom_site_type_symbol
_atom_site_fract_x
_atom_site_fract_y
_atom_site_fract_z
_atom_site_occupancy
K1 K 0.000 0.000 0.000 1
Si1 Si 0.000 0.500 0.500 1
Hg1 Hg 0.500 0.500 0.000 1
```

No. 6
Material: Li6In12Hg
Method: DFT, GGA-PBE
State: relaxed

- N(E_F) (states/eV/atom) = 0.219
- energy above the most stable polymorph in this dataset (eV per atom) = 0.010
- ΔH_f (0 K) (kJ/mol of formula units) = -256.3

```
data_Li6In12Hg
_chemical_formula_sum 'Li18 In36 Hg3'
_cell_length_a 8.9498
_cell_length_b 8.9498
_cell_length_c 19.5966
_cell_angle_alpha 90.00
_cell_angle_beta 90.00
_cell_angle_gamma 120.00
_space_group_name_H-M_alt 'R -3 m'
_space_group_IT_number 166
_space_group_name_Hall '-R 3 2"'
loop_
_atom_site_label
_atom_site_type_symbol
_atom_site_fract_x
_atom_site_fract_y
_atom_site_fract_z
_atom_site_occupancy
Li1 Li 0.0407 0.5204 0.3871 1
In1 In 0.0926 0.5463 0.8041 1
In2 In 0.1058 0.5529 0.0636 1
Hg1 Hg 0.0000 0.0000 0.0000 1
```

No. 7
Material: CsBiSb2Ru
Method: DFT, GGA-PBE
State: relaxed

- N(E_F) (states/eV/atom) = 1.279
- formation energy from raw total energies (eV/f.u.) = 9.7

```
data_CsBiSb2Ru
_chemical_formula_sum 'Cs1 Bi1 Sb2 Ru1'
_cell_length_a 6.058
_cell_length_b 6.058
_cell_length_c 4.987
_cell_angle_alpha 90.00
_cell_angle_beta 90.00
_cell_angle_gamma 90.00
_space_group_name_H-M_alt 'P 4/m m m'
_space_group_IT_number 123
_space_group_name_Hall '-P 4 2'
loop_
_atom_site_label
_atom_site_type_symbol
_atom_site_fract_x
_atom_site_fract_y
_atom_site_fract_z
_atom_site_occupancy
Cs1 Cs 0.000 0.000 0.000 1
Bi1 Bi 0.500 0.500 0.500 1
Sb1 Sb 0.000 0.500 0.000 1
Ru1 Ru 0.000 0.000 0.500 1
```

No. 8
Material: LiBe2BC
Method: DFT, GGA-PBE
State: relaxed

- N(E_F) (states/eV/atom) = 0.265
- ΔH_f (0 K) (kJ/mol of formula units) = 1001.6

```
data_LiBe2BC
_chemical_formula_sum 'Li1 Be2 B1 C1'
_cell_length_a 3.769
_cell_length_b 3.769
_cell_length_c 3.363
_cell_angle_alpha 90.00
_cell_angle_beta 90.00
_cell_angle_gamma 90.00
_space_group_name_H-M_alt 'P 4/m m m'
_space_group_IT_number 123
_space_group_name_Hall '-P 4 2'
loop_
_atom_site_label
_atom_site_type_symbol
_atom_site_fract_x
_atom_site_fract_y
_atom_site_fract_z
_atom_site_occupancy
Li1 Li 0.000 0.000 0.000 1
Be1 Be 0.000 0.500 0.000 1
B1 B 0.500 0.500 0.500 1
C1 C 0.000 0.000 0.500 1
```